Record 1
Entry from Alexandria: crystalline Cd2GaCu2 at its relaxed geometry (PBE).

```
data_Cd2GaCu2
_symmetry_space_group_name_H-M 'P 1'
_symmetry_Int_Tables_number 1
_cell_length_a 7.8891
_cell_length_b 7.8891
_cell_length_c 2.8951
_cell_angle_alpha 90.00
_cell_angle_beta 90.00
_cell_angle_gamma 90.00
loop_
_symmetry_equiv_pos_as_xyz
'x,y,z'
loop_
_atom_site_label
_atom_site_type_symbol
_atom_site_fract_x
_atom_site_fract_y
_atom_site_fract_z
Cu1 Cu 0.1642 0.6642 0.5000
Cu2 Cu 0.6642 0.8358 0.5000
Cu3 Cu 0.8358 0.3358 0.5000
Cu4 Cu 0.3358 0.1642 0.5000
Ga1 Ga 0.0000 0.0000 0.0000
Ga2 Ga 0.5000 0.5000 0.0000
Cd1 Cd 0.3651 0.8651 0.0000
Cd2 Cd 0.8651 0.6349 0.0000
Cd3 Cd 0.6349 0.1349 0.0000
Cd4 Cd 0.1349 0.3651 0.0000
```

Values from the calculation:
DFT total energy ... -2.449 eV/atom
Crystal system ... tetragonal
Density of states at the Fermi level ... 1.59 states/eV/f.u.
Formation energy ... 0.16 eV per atom

=====

Record 2
Entry from Alexandria: crystalline Pm12PaGe7 at its relaxed geometry (PBE).

```
data_Pm12PaGe7
_symmetry_space_group_name_H-M 'P 1'
_symmetry_Int_Tables_number 1
_cell_length_a 9.2454
_cell_length_b 9.2454
_cell_length_c 9.2454
_cell_angle_alpha 107.56
_cell_angle_beta 107.56
_cell_angle_gamma 107.56
loop_
_symmetry_equiv_pos_as_xyz
'x,y,z'
loop_
_atom_site_label
_atom_site_type_symbol
_atom_site_fract_x
_atom_site_fract_y
_atom_site_fract_z
Pm1 Pm 0.9263 0.3084 0.7710
Pm2 Pm 0.6916 0.2290 0.0737
Pm3 Pm 0.4679 0.1544 0.3876
Pm4 Pm 0.8456 0.6124 0.5321
Pm5 Pm 0.2290 0.0737 0.6916
Pm6 Pm 0.6124 0.5321 0.8456
Pm7 Pm 0.3876 0.4679 0.1544
Pm8 Pm 0.7710 0.9263 0.3084
Pm9 Pm 0.1544 0.3876 0.4679
Pm10 Pm 0.5321 0.8456 0.6124
Pm11 Pm 0.3084 0.7710 0.9263
Pm12 Pm 0.0737 0.6916 0.2290
Pa1 Pa 0.0000 0.0000 0.0000
Ge1 Ge 0.9601 0.6549 0.8824
Ge2 Ge 0.3451 0.1176 0.0399
Ge3 Ge 0.1176 0.0399 0.3451
Ge4 Ge 0.5000 0.5000 0.5000
Ge5 Ge 0.8824 0.9601 0.6549
Ge6 Ge 0.6549 0.8824 0.9601
Ge7 Ge 0.0399 0.3451 0.1176
```

Values from the calculation:
DFT total energy ... -5.353 eV/atom
Crystal system ... trigonal
Density of states at the Fermi level ... 22.52 states/eV/f.u.
Formation energy ... -0.41 eV per atom

=====

Record 3
Entry from Alexandria: crystalline Tc5Rh at its relaxed geometry (PBE).

```
data_Tc5Rh
_symmetry_space_group_name_H-M 'P 1'
_symmetry_Int_Tables_number 1
_cell_length_a 5.0503
_cell_length_b 5.0503
_cell_length_c 5.0503
_cell_angle_alpha 60.00
_cell_angle_beta 60.00
_cell_angle_gamma 60.00
loop_
_symmetry_equiv_pos_as_xyz
'x,y,z'
loop_
_atom_site_label
_atom_site_type_symbol
_atom_site_fract_x
_atom_site_fract_y
_atom_site_fract_z
Tc1 Tc 0.8769 0.3744 0.3744
Tc2 Tc 0.7500 0.7500 0.7500
Tc3 Tc 0.3744 0.8769 0.3744
Tc4 Tc 0.3744 0.3744 0.3744
Tc5 Tc 0.3744 0.3744 0.8769
Rh1 Rh 0.0000 0.0000 0.0000
```

Values from the calculation:
DFT total energy ... -9.596 eV/atom
Crystal system ... cubic
Density of states at the Fermi level ... 6.42 states/eV/f.u.
Formation energy ... 0.27 eV per atom

=====

Record 4
Entry from Alexandria: crystalline LaTbPrAg at its relaxed geometry (PBE).

```
data_LaTbPrAg
_symmetry_space_group_name_H-M 'P 1'
_symmetry_Int_Tables_number 1
_cell_length_a 3.7172
_cell_length_b 3.7172
_cell_length_c 8.9270
_cell_angle_alpha 90.00
_cell_angle_beta 90.00
_cell_angle_gamma 90.00
loop_
_symmetry_equiv_pos_as_xyz
'x,y,z'
loop_
_atom_site_label
_atom_site_type_symbol
_atom_site_fract_x
_atom_site_fract_y
_atom_site_fract_z
La1 La 0.5000 0.5000 0.7848
Tb1 Tb 0.5000 0.5000 0.3645
Pr1 Pr 0.0000 0.0000 0.0832
Ag1 Ag 0.0000 0.0000 0.5521
```

Values from the calculation:
DFT total energy ... -4.419 eV/atom
Crystal system ... tetragonal
Density of states at the Fermi level ... 5.79 states/eV/f.u.
Formation energy ... -0.12 eV per atom

=====

Record 5
Entry from Alexandria: crystalline La5PbS8 at its relaxed geometry (PBE).

```
data_La5PbS8
_symmetry_space_group_name_H-M 'P 1'
_symmetry_Int_Tables_number 1
_cell_length_a 7.6040
_cell_length_b 7.6040
_cell_length_c 7.6040
_cell_angle_alpha 109.23
_cell_angle_beta 109.95
_cell_angle_gamma 109.23
loop_
_symmetry_equiv_pos_as_xyz
'x,y,z'
loop_
_atom_site_label
_atom_site_type_symbol
_atom_site_fract_x
_atom_site_fract_y
_atom_site_fract_z
La1 La 0.0151 0.3856 0.1339
La2 La 0.8661 0.8811 0.2517
La3 La 0.7483 0.6144 0.6295
La4 La 0.5000 0.0000 0.5000
La5 La 0.3705 0.1189 0.9849
Pb1 Pb 0.2500 0.5000 0.7500
S1 S 0.1293 0.7589 0.0306
S2 S 0.9694 0.0987 0.7283
S3 S 0.7619 0.2447 0.3637
S4 S 0.6363 0.3982 0.8809
S5 S 0.4828 0.6018 0.2381
S6 S 0.6296 0.9013 0.8707
S7 S 0.2717 0.2411 0.3704
S8 S 0.1191 0.7553 0.5172
```

Values from the calculation:
DFT total energy ... -6.324 eV/atom
Crystal system ... tetragonal
Density of states at the Fermi level ... 6.49 states/eV/f.u.
Uncorrected formation energy ... -1.940 eV per atom

=====

Record 6
Entry from Alexandria: crystalline Er4SiGeTe2 at its relaxed geometry (PBE).

```
data_Er4SiGeTe2
_symmetry_space_group_name_H-M 'P 1'
_symmetry_Int_Tables_number 1
_cell_length_a 4.2016
_cell_length_b 7.2704
_cell_length_c 7.4378
_cell_angle_alpha 109.01
_cell_angle_beta 90.00
_cell_angle_gamma 90.00
loop_
_symmetry_equiv_pos_as_xyz
'x,y,z'
loop_
_atom_site_label
_atom_site_type_symbol
_atom_site_fract_x
_atom_site_fract_y
_atom_site_fract_z
Er1 Er 0.5000 0.2402 0.2180
Er2 Er 0.5000 0.7598 0.7820
Er3 Er 0.0000 0.2622 0.7825
Er4 Er 0.0000 0.7378 0.2175
Si1 Si 0.5000 0.5000 0.0000
Ge1 Ge 0.0000 0.0000 0.0000
Te1 Te 0.5000 0.0000 0.5000
Te2 Te 0.0000 0.5000 0.5000
```

Values from the calculation:
DFT total energy ... -5.435 eV/atom
Crystal system ... monoclinic
Density of states at the Fermi level ... 1.23 states/eV/f.u.
Uncorrected formation energy ... -1.113 eV per atom

=====

Record 7
Entry from Alexandria: crystalline ThTl4Pd15 at its relaxed geometry (PBE).

```
data_ThTl4Pd15
_symmetry_space_group_name_H-M 'P 1'
_symmetry_Int_Tables_number 1
_cell_length_a 4.1365
_cell_length_b 4.1365
_cell_length_c 20.3634
_cell_angle_alpha 90.00
_cell_angle_beta 90.00
_cell_angle_gamma 90.00
loop_
_symmetry_equiv_pos_as_xyz
'x,y,z'
loop_
_atom_site_label
_atom_site_type_symbol
_atom_site_fract_x
_atom_site_fract_y
_atom_site_fract_z
Th1 Th 0.0000 0.0000 0.0000
Tl1 Tl 0.0000 0.0000 0.2059
Tl2 Tl 0.0000 0.0000 0.4015
Tl3 Tl 0.0000 0.0000 0.5985
Tl4 Tl 0.0000 0.0000 0.7941
Pd1 Pd 0.5000 0.5000 0.0000
Pd2 Pd 0.5000 0.5000 0.2020
Pd3 Pd 0.5000 0.5000 0.4014
Pd4 Pd 0.5000 0.5000 0.5986
Pd5 Pd 0.5000 0.5000 0.7980
Pd6 Pd 0.5000 0.0000 0.1026
Pd7 Pd 0.5000 0.0000 0.3027
Pd8 Pd 0.5000 0.0000 0.5000
Pd9 Pd 0.5000 0.0000 0.6973
Pd10 Pd 0.5000 0.0000 0.8974
Pd11 Pd 0.0000 0.5000 0.1026
Pd12 Pd 0.0000 0.5000 0.3027
Pd13 Pd 0.0000 0.5000 0.5000
Pd14 Pd 0.0000 0.5000 0.6973
Pd15 Pd 0.0000 0.5000 0.8974
```

Values from the calculation:
DFT total energy ... -5.093 eV/atom
Crystal system ... tetragonal
Density of states at the Fermi level ... 15.55 states/eV/f.u.
Formation energy ... -0.35 eV per atom

=====

Record 8
Entry from Alexandria: crystalline MnRu2Rh at its relaxed geometry (PBE).

```
data_MnRu2Rh
_symmetry_space_group_name_H-M 'P 1'
_symmetry_Int_Tables_number 1
_cell_length_a 3.7601
_cell_length_b 2.6736
_cell_length_c 5.9984
_cell_angle_alpha 63.45
_cell_angle_beta 90.00
_cell_angle_gamma 90.00
loop_
_symmetry_equiv_pos_as_xyz
'x,y,z'
loop_
_atom_site_label
_atom_site_type_symbol
_atom_site_fract_x
_atom_site_fract_y
_atom_site_fract_z
Mn1 Mn 0.5000 0.2500 0.2500
Rh1 Rh 0.5000 0.7500 0.7500
Ru1 Ru 0.0000 0.9868 0.0124
Ru2 Ru 0.0000 0.5132 0.4876
```

Values from the calculation:
DFT total energy ... -8.703 eV/atom
Crystal system ... monoclinic
Density of states at the Fermi level ... 4.16 states/eV/f.u.
Formation energy ... 0.07 eV per atom

=====

Record 9
Entry from Alexandria: crystalline SrCo2Te at its relaxed geometry (PBE).

```
data_SrCo2Te
_symmetry_space_group_name_H-M 'P 1'
_symmetry_Int_Tables_number 1
_cell_length_a 4.0902
_cell_length_b 4.9450
_cell_length_c 4.8538
_cell_angle_alpha 81.04
_cell_angle_beta 90.00
_cell_angle_gamma 90.00
loop_
_symmetry_equiv_pos_as_xyz
'x,y,z'
loop_
_atom_site_label
_atom_site_type_symbol
_atom_site_fract_x
_atom_site_fract_y
_atom_site_fract_z
Co1 Co 0.0000 0.0388 0.0335
Co2 Co 0.5000 0.2588 0.0309
Sr1 Sr 0.0000 0.4408 0.4920
Te1 Te 0.5000 0.7617 0.9436
```

Values from the calculation:
DFT total energy ... -4.804 eV/atom
Crystal system ... monoclinic
Density of states at the Fermi level ... 3.42 states/eV/f.u.
Uncorrected formation energy ... -0.045 eV per atom

=====

Record 10
Entry from Alexandria: crystalline TaTe6W at its relaxed geometry (PBE).

```
data_TaTe6W
_symmetry_space_group_name_H-M 'P 1'
_symmetry_Int_Tables_number 1
_cell_length_a 6.8634
_cell_length_b 6.9309
_cell_length_c 7.7333
_cell_angle_alpha 58.02
_cell_angle_beta 56.72
_cell_angle_gamma 55.92
loop_
_symmetry_equiv_pos_as_xyz
'x,y,z'
loop_
_atom_site_label
_atom_site_type_symbol
_atom_site_fract_x
_atom_site_fract_y
_atom_site_fract_z
Ta1 Ta 0.5000 0.5000 0.5000
Te1 Te 0.0470 0.4453 0.7774
Te2 Te 0.6886 0.1154 0.8218
Te3 Te 0.6060 0.1860 0.3196
Te4 Te 0.3114 0.8846 0.1782
Te5 Te 0.9530 0.5547 0.2226
Te6 Te 0.3940 0.8140 0.6804
W1 W 0.0000 0.0000 0.0000
```

Values from the calculation:
DFT total energy ... -5.386 eV/atom
Crystal system ... triclinic
Density of states at the Fermi level ... 5.65 states/eV/f.u.
Uncorrected formation energy ... 0.071 eV per atom

=====

Record 11
Entry from Alexandria: crystalline Sc8PdRu2 at its relaxed geometry (PBE).

```
data_Sc8PdRu2
_symmetry_space_group_name_H-M 'P 1'
_symmetry_Int_Tables_number 1
_cell_length_a 4.7844
_cell_length_b 6.4393
_cell_length_c 8.3262
_cell_angle_alpha 112.74
_cell_angle_beta 106.69
_cell_angle_gamma 90.01
loop_
_symmetry_equiv_pos_as_xyz
'x,y,z'
loop_
_atom_site_label
_atom_site_type_symbol
_atom_site_fract_x
_atom_site_fract_y
_atom_site_fract_z
Sc1 Sc 0.6363 0.2597 0.9091
Sc2 Sc 0.9771 0.0212 0.5905
Sc3 Sc 0.2956 0.3398 0.2277
Sc4 Sc 0.7471 0.9421 0.1303
Sc5 Sc 0.3459 0.8557 0.3278
Sc6 Sc 0.9269 0.4370 0.4903
Sc7 Sc 0.1363 0.5574 0.9091
Sc8 Sc 0.5257 0.7208 0.6879
Pd1 Pd 0.1367 0.9661 0.9091
Ru1 Ru 0.8060 0.6196 0.2481
Ru2 Ru 0.4666 0.2805 0.5700
```

Values from the calculation:
DFT total energy ... -7.193 eV/atom
Crystal system ... orthorhombic
Density of states at the Fermi level ... 13.74 states/eV/f.u.
Formation energy ... -0.43 eV per atom

=====

Record 12
Entry from Alexandria: crystalline LuBeRh2 at its relaxed geometry (PBE).

```
data_LuBeRh2
_symmetry_space_group_name_H-M 'P 1'
_symmetry_Int_Tables_number 1
_cell_length_a 3.1080
_cell_length_b 3.1080
_cell_length_c 6.1450
_cell_angle_alpha 90.00
_cell_angle_beta 90.00
_cell_angle_gamma 90.00
loop_
_symmetry_equiv_pos_as_xyz
'x,y,z'
loop_
_atom_site_label
_atom_site_type_symbol
_atom_site_fract_x
_atom_site_fract_y
_atom_site_fract_z
Be1 Be 0.5000 0.5000 0.0000
Lu1 Lu 0.5000 0.5000 0.5000
Rh1 Rh 0.0000 0.0000 0.7860
Rh2 Rh 0.0000 0.0000 0.2140
```

Values from the calculation:
DFT total energy ... -6.413 eV/atom
Crystal system ... tetragonal
Density of states at the Fermi level ... 1.20 states/eV/f.u.
Formation energy ... -0.68 eV per atom